VASP calculation (GGA-PBE) on Ba12Sn3N5 after structural relaxation.

The structure in POSCAR format:
```
Ba12Sn3N5
1.0
-9.0775 9.0775 9.0775
9.0775 -9.0775 9.0775
9.0775 9.0775 -9.0775
Ba Sn N
48 12 20
Cartesian
2.7088 -0.6214 0.8810
10.9074 5.4197 -5.1602
11.7863 0.6214 0.8810
10.9074 -3.6578 5.1602
8.4560 -0.8810 2.7088
14.2377 -1.8299 3.6578
0.8810 2.7088 -0.6214
12.7353 3.9173 -1.8299
5.4197 5.1602 -1.8299
8.1965 2.7088 0.6214
-0.6214 0.8810 2.7088
5.1602 -1.8299 5.4197
8.4560 8.1965 -2.7088
5.1602 1.8299 3.6578
5.4197 -5.1602 10.9074
8.1965 -2.7088 8.4560
3.6578 5.1602 1.8299
9.9584 6.3687 0.6214
5.1602 10.9074 -3.6578
8.4560 0.8810 6.3687
2.7088 8.4560 -0.8810
10.9074 3.6578 3.9173
1.8299 3.6578 5.1602
2.7088 0.6214 8.1965
6.3687 8.4560 0.8810
7.2475 5.4197 3.9173
-1.8299 5.4197 5.1602
6.3687 0.6214 9.9584
0.6214 8.1965 2.7088
3.9173 -1.8299 12.7353
-0.8810 2.7088 8.4560
5.4197 3.9173 7.2475
0.8810 11.7863 0.6214
3.6578 14.2377 -1.8299
3.9173 7.2475 5.4197
0.6214 0.8810 11.7863
3.9173 10.9074 3.6578
9.6989 8.1965 6.3687
0.8810 6.3687 8.4560
3.6578 3.9173 10.9074
-3.6578 5.1602 10.9074
8.1965 6.3687 9.6989
-5.1602 10.9074 5.4197
0.6214 9.9584 6.3687
-1.8299 12.7353 3.9173
-2.7088 8.4560 8.1965
-1.8299 3.6578 14.2377
6.3687 9.6989 8.1965
4.5387 2.2694 0.0000
9.0775 4.5387 -2.2694
2.2694 0.0000 4.5387
11.3468 0.0000 4.5387
0.0000 4.5387 2.2694
4.5387 -2.2694 9.0775
4.5387 11.3468 0.0000
9.0775 4.5387 6.8081
-2.2694 9.0775 4.5387
6.8081 9.0775 4.5387
0.0000 4.5387 11.3468
4.5387 6.8081 9.0775
0.0000 0.0000 0.0000
4.5387 4.5387 -4.5387
4.5387 -4.5387 4.5387
9.0775 0.0000 0.0000
13.6162 2.2694 0.0000
9.0775 -4.5387 6.8081
6.8081 9.0775 -4.5387
6.8081 0.0000 4.5387
4.5387 6.8081 0.0000
9.0775 4.5387 2.2694
-4.5387 4.5387 4.5387
0.0000 9.0775 0.0000
0.0000 0.0000 9.0775
4.5387 4.5387 4.5387
0.0000 4.5387 6.8081
4.5387 2.2694 9.0775
2.2694 9.0775 4.5387
2.2694 0.0000 13.6162
0.0000 13.6162 2.2694
-4.5387 6.8081 9.0775
```

DOS at the Fermi energy (states/eV per cell): 105.1
Formation energy (no corrections) (meV per atom): -358
Crystal system: cubic